No. 1
This record from the Alexandria database describes a geometry-optimized InMoPt structure. The functional is PBE-GGA.

Cell: 2.9480 2.9480 6.9507 Å, 90.00 90.00 120.00°
Fractional coordinates of all 3 atoms:
In 0.0000 0.0000 0.9981
Pt 0.6667 0.3333 0.6537
Mo 0.3333 0.6667 0.3482

* Fermi-level density of states: 1.03 states/eV/atom
* crystal system: trigonal
* E: -19.4 eV for the cell shown
* total moment: 0.00 μB/f.u.
* formation enthalpy at 0 K: 70 meV per atom

No. 2
This record from the Alexandria database describes a geometry-optimized PmThMgGa structure. The functional is PBE-GGA.

Cell: 5.3061 5.3061 5.3061 Å, 60.00 60.00 60.00°
Fractional coordinates of all 4 atoms:
Ga 0.2500 0.2500 0.2500
Pm 0.5000 0.5000 0.5000
Th 0.0000 0.0000 0.0000
Mg 0.7500 0.7500 0.7500

* Fermi-level density of states: 0.62 states/eV/atom
* crystal system: cubic
* E: -17.7 eV for the cell shown
* total moment: 0.00 μB/f.u.
* formation enthalpy at 0 K: -222 meV per atom

No. 3
This record from the Alexandria database describes a geometry-optimized AcEr2ReO8 structure. The functional is PBE-GGA.

Cell: 5.0789 5.0826 7.0122 Å, 90.00 90.00 88.46°
Fractional coordinates of all 12 atoms:
O 0.2624 0.2622 0.0000
O 0.1879 0.8121 0.1949
O 0.3247 0.3235 0.5000
Er 0.5000 0.5000 0.7485
Re 0.0000 0.0000 0.0000
O 0.7376 0.7378 0.0000
O 0.1879 0.8121 0.8051
Er 0.5000 0.5000 0.2515
O 0.6753 0.6765 0.5000
O 0.8121 0.1879 0.8051
Ac 0.0000 0.0000 0.5000
O 0.8121 0.1879 0.1949

* crystal system: orthorhombic
* E: -98.6 eV for the cell shown
* total moment: 0.00 μB/f.u.

No. 4
This record from the Alexandria database describes a geometry-optimized Tm6CoNi structure. The functional is PBE-GGA.

Cell: 6.4810 6.4820 6.2982 Å, 59.03 80.22 70.73°
Fractional coordinates of all 8 atoms:
Tm 0.7462 0.0853 0.3387
Tm 0.2538 0.9147 0.6613
Tm 0.2538 0.5761 0.3387
Tm 0.2540 0.2506 0.0000
Ni 0.0000 0.0000 0.0000
Tm 0.7462 0.4239 0.6613
Co 0.5000 0.5000 0.0000
Tm 0.7460 0.7494 0.0000

* Fermi-level density of states: 1.00 states/eV/atom
* crystal system: monoclinic
* E: -40.7 eV for the cell shown
* total moment: 0.00 μB/f.u.
* formation enthalpy at 0 K: -126 meV per atom

No. 5
This record from the Alexandria database describes a geometry-optimized ReBi2Pt structure. The functional is PBE-GGA.

Cell: 6.1805 6.1805 7.6387 Å, 66.14 66.14 90.00°
Fractional coordinates of all 8 atoms:
Pt 0.0000 0.0000 0.0000
Bi 0.6189 0.1250 0.2500
Re 0.2500 0.7500 0.5000
Re 0.5000 0.5000 0.0000
Bi 0.3750 0.3811 0.7500
Pt 0.7500 0.2500 0.5000
Bi 0.8750 0.8689 0.7500
Bi 0.1311 0.6250 0.2500

* Fermi-level density of states: 0.69 states/eV/atom
* crystal system: tetragonal
* excess energy over the best structure of this formula in the dataset: 21.7 kJ per mole of atoms
* E: -44.8 eV for the cell shown
* total moment: 0.00 μB/f.u.
* formation enthalpy at 0 K: 957 meV per atom

No. 6
This record from the Alexandria database describes a geometry-optimized Tm4MgNi4 structure. The functional is PBE-GGA.

Cell: 5.3432 8.3172 8.3172 Å, 90.00 90.00 90.00°
Fractional coordinates of all 18 atoms:
Ni 0.3730 0.3721 0.2433
Ni 0.3730 0.6279 0.7567
Ni 0.8730 0.7433 0.1279
Mg 0.5000 0.5000 0.5000
Tm 0.8800 0.4299 0.1973
Ni 0.8730 0.2567 0.8721
Tm 0.3800 0.3027 0.9299
Ni 0.6270 0.2433 0.6279
Ni 0.1270 0.8721 0.7433
Tm 0.6200 0.0701 0.3027
Tm 0.1200 0.8027 0.4299
Tm 0.3800 0.6973 0.0701
Tm 0.8800 0.5701 0.8027
Tm 0.1200 0.1973 0.5701
Ni 0.1270 0.1279 0.2567
Mg 0.0000 0.0000 0.0000
Ni 0.6270 0.7567 0.3721
Tm 0.6200 0.9299 0.6973

* Fermi-level density of states: 0.82 states/eV/atom
* crystal system: tetragonal
* E: -90.1 eV for the cell shown
* total moment: 0.00 μB/f.u.
* formation enthalpy at 0 K: -272 meV per atom

No. 7
This record from the Alexandria database describes a geometry-optimized LiLa2IrN structure. The functional is PBE-GGA.

Cell: 5.0455 5.0455 3.9265 Å, 90.00 90.00 90.00°
Fractional coordinates of all 5 atoms:
N 0.0000 0.0000 0.0000
La 0.0000 0.5000 0.0000
La 0.5000 0.0000 0.0000
Ir 0.5000 0.5000 0.5000
Li 0.0000 0.0000 0.5000

* Fermi-level density of states: 0.42 states/eV/atom
* crystal system: tetragonal
* excess energy over the best structure of this formula in the dataset: 0.0 kJ per mole of atoms
* E: -32.7 eV for the cell shown
* total moment: 0.00 μB/f.u.

No. 8
This record from the Alexandria database describes a geometry-optimized RbFeC2 structure. The functional is PBE-GGA.

Cell: 4.3398 4.3398 4.3398 Å, 60.00 60.00 60.00°
Site moments in Bohr magnetons follow the coordinates.
Fractional coordinates of all 4 atoms:
Rb 0.5000 0.5000 0.5000  -0.01
C 0.2500 0.2500 0.2500  -0.19
Fe 0.0000 0.0000 0.0000  3.10
C 0.7500 0.7500 0.7500  -0.19

* Fermi-level density of states: 0.91 states/eV/atom
* crystal system: cubic
* excess energy over the best structure of this formula in the dataset: 220.8 kJ per mole of atoms
* E: -16.4 eV for the cell shown
* total moment: 2.48 μB/f.u.
* formation enthalpy at 0 K: 2875 meV per atom

No. 9
This record from the Alexandria database describes a geometry-optimized Al2InRu structure. The functional is PBE-GGA.

Cell: 8.9551 8.9551 8.9551 Å, 19.49 19.49 19.49°
Fractional coordinates of all 4 atoms:
In 0.4932 0.4932 0.4932
Al 0.0082 0.0082 0.0082
Ru 0.7435 0.7435 0.7435
Al 0.2552 0.2552 0.2552

* Fermi-level density of states: 0.71 states/eV/atom
* crystal system: trigonal
* E: -19.5 eV for the cell shown
* total moment: 0.00 μB/f.u.
* formation enthalpy at 0 K: 4 meV per atom

No. 10
This record from the Alexandria database describes a geometry-optimized Ce6NiIr2 structure. The functional is PBE-GGA.

Cell: 6.2768 7.2884 9.7299 Å, 90.00 91.57 90.00°
Site moments in Bohr magnetons follow the coordinates.
Fractional coordinates of all 18 atoms:
Ce 0.3483 0.8068 0.4317  0.28
Ir 0.0660 0.6211 0.2237  -0.02
Ce 0.6517 0.1932 0.5683  0.28
Ni 0.0000 0.0000 0.5000  -0.02
Ce 0.8493 0.6545 0.5528  0.27
Ce 0.6525 0.4572 0.2597  0.26
Ce 0.6507 0.1545 0.9472  0.27
Ce 0.1525 0.0428 0.7597  0.26
Ce 0.8483 0.6932 0.9317  0.28
Ce 0.1507 0.3455 0.4472  0.27
Ce 0.3493 0.8455 0.0528  0.27
Ir 0.5660 0.8789 0.7237  -0.02
Ir 0.9340 0.3789 0.7763  -0.02
Ni 0.5000 0.5000 0.0000  -0.02
Ce 0.3475 0.5428 0.7403  0.26
Ce 0.8475 0.9572 0.2403  0.26
Ir 0.4340 0.1211 0.2763  -0.02
Ce 0.1517 0.3068 0.0683  0.28

* Fermi-level density of states: 2.62 states/eV/atom
* crystal system: monoclinic
* E: -125.2 eV for the cell shown
* total moment: 1.89 μB/f.u.
* formation enthalpy at 0 K: -387 meV per atom

No. 11
This record from the Alexandria database describes a geometry-optimized Pr9DyY2 structure. The functional is PBE-GGA.

Cell: 5.1980 5.1980 15.5959 Å, 90.00 90.00 90.00°
Fractional coordinates of all 12 atoms:
Pr 0.5000 0.5000 0.0000
Dy 0.0000 0.0000 0.0000
Y 0.0000 0.0000 0.6668
Pr 0.0000 0.5000 0.8339
Pr 0.5000 0.0000 0.5000
Y 0.0000 0.0000 0.3332
Pr 0.0000 0.5000 0.5000
Pr 0.5000 0.0000 0.8339
Pr 0.5000 0.5000 0.3331
Pr 0.5000 0.5000 0.6669
Pr 0.0000 0.5000 0.1661
Pr 0.5000 0.0000 0.1661

* Fermi-level density of states: 1.67 states/eV/atom
* crystal system: tetragonal
* E: -60.4 eV for the cell shown
* total moment: 0.00 μB/f.u.
* formation enthalpy at 0 K: 12 meV per atom

No. 12
This record from the Alexandria database describes a geometry-optimized KSbN2F structure. The functional is PBE-GGA.

Cell: 4.0444 4.0444 4.6538 Å, 90.00 90.00 90.00°
Site moments in Bohr magnetons follow the coordinates.
Fractional coordinates of all 5 atoms:
N 0.0000 0.5000 0.0000  0.22
Sb 0.0000 0.0000 0.0000  -0.03
K 0.5000 0.5000 0.5000  0.00
F 0.0000 0.0000 0.5000  -0.01
N 0.5000 0.0000 0.0000  0.22

* Fermi-level density of states: 0.07 states/eV/atom
* crystal system: tetragonal
* excess energy over the best structure of this formula in the dataset: 0.0 kJ per mole of atoms
* E: -24.3 eV for the cell shown
* total moment: 0.59 μB/f.u.